Entry A
Ho2MgO: optimized geometry, PBE-GGA.

Computed properties:
Its total magnetization is 0.00 μB per formula unit.

Geometry as CIF:
```
data_Ho2MgO
_space_group_name_H-M_alt 'P 4/m m m'
_space_group_IT_number 123
_space_group_name_Hall '-P 4 2'
_cell_length_a 3.0508
_cell_length_b 3.0508
_cell_length_c 8.3446
_cell_angle_alpha 90.00
_cell_angle_beta 90.00
_cell_angle_gamma 90.00
loop_
_atom_site_label
_atom_site_type_symbol
_atom_site_fract_x
_atom_site_fract_y
_atom_site_fract_z
Ho1 Ho 0.0000 0.0000 0.1850
Mg1 Mg 0.5000 0.5000 0.5000
O1 O 0.5000 0.5000 0.0000
```

***

Entry B
Ho2MgO: optimized geometry, PBE-GGA.

Computed properties:
Its total magnetization is 0.00 μB per formula unit.

Geometry as CIF:
```
data_Ho2MgO
_space_group_name_H-M_alt 'R -3 m'
_space_group_IT_number 166
_space_group_name_Hall '-R 3 2"'
_cell_length_a 3.4855
_cell_length_b 3.4855
_cell_length_c 24.1648
_cell_angle_alpha 90.00
_cell_angle_beta 90.00
_cell_angle_gamma 120.00
loop_
_atom_site_label
_atom_site_type_symbol
_atom_site_fract_x
_atom_site_fract_y
_atom_site_fract_z
Ho1 Ho 0.0000 0.0000 0.2215
Mg1 Mg 0.0000 0.0000 0.0000
O1 O 0.0000 0.0000 0.5000
```

***

Least stable of them? entry A.

***

Entry A
TbHoMgOs: optimized geometry, PBE-GGA.

Computed properties:
Its total magnetization is 0.00 μB per formula unit.

Geometry as CIF:
```
data_TbHoMgOs
_space_group_name_H-M_alt 'F -4 3 m'
_space_group_IT_number 216
_space_group_name_Hall 'F -4 2 3'
_cell_length_a 7.0620
_cell_length_b 7.0620
_cell_length_c 7.0620
_cell_angle_alpha 90.00
_cell_angle_beta 90.00
_cell_angle_gamma 90.00
loop_
_atom_site_label
_atom_site_type_symbol
_atom_site_fract_x
_atom_site_fract_y
_atom_site_fract_z
Tb1 Tb 0.0000 0.0000 0.0000
Ho1 Ho 0.0000 0.0000 0.5000
Mg1 Mg 0.2500 0.2500 0.2500
Os1 Os 0.2500 0.2500 0.7500
```

***

Entry B
TbHoMgOs: optimized geometry, PBE-GGA.

Computed properties:
Its total magnetization is 0.00 μB per formula unit.

Geometry as CIF:
```
data_TbHoMgOs
_space_group_name_H-M_alt 'P 4 m m'
_space_group_IT_number 99
_cell_length_a 3.3990
_cell_length_b 3.3990
_cell_length_c 8.4900
_cell_angle_alpha 90.00
_cell_angle_beta 90.00
_cell_angle_gamma 90.00
loop_
_space_group_symop_operation_xyz
'x,y,z'
'-y,x,z'
'-x,-y,z'
'y,-x,z'
'-x,y,z'
'y,x,z'
'x,-y,z'
'-y,-x,z'
loop_
_atom_site_label
_atom_site_type_symbol
_atom_site_fract_x
_atom_site_fract_y
_atom_site_fract_z
Tb1 Tb 0.0000 0.0000 0.0000
Ho1 Ho 0.0000 0.0000 0.6085
Mg1 Mg 0.5000 0.5000 0.3064
Os1 Os 0.5000 0.5000 0.8018
```

***

Least stable of them? entry A.

***

Entry A
HoTmMgOs: optimized geometry, PBE-GGA.

Computed properties:
Its total magnetization is 0.00 μB per formula unit.

Geometry as CIF:
```
data_HoTmMgOs
_space_group_name_H-M_alt 'P 4 m m'
_space_group_IT_number 99
_cell_length_a 3.3839
_cell_length_b 3.3839
_cell_length_c 8.3449
_cell_angle_alpha 90.00
_cell_angle_beta 90.00
_cell_angle_gamma 90.00
loop_
_space_group_symop_operation_xyz
'x,y,z'
'-y,x,z'
'-x,-y,z'
'y,-x,z'
'-x,y,z'
'y,x,z'
'x,-y,z'
'-y,-x,z'
loop_
_atom_site_label
_atom_site_type_symbol
_atom_site_fract_x
_atom_site_fract_y
_atom_site_fract_z
Ho1 Ho 0.0000 0.0000 0.0000
Tm1 Tm 0.0000 0.0000 0.6075
Mg1 Mg 0.5000 0.5000 0.3063
Os1 Os 0.5000 0.5000 0.8013
```

***

Entry B
HoTmMgOs: optimized geometry, PBE-GGA.

Computed properties:
Its total magnetization is 0.00 μB per formula unit.

Geometry as CIF:
```
data_HoTmMgOs
_space_group_name_H-M_alt 'F -4 3 m'
_space_group_IT_number 216
_space_group_name_Hall 'F -4 2 3'
_cell_length_a 7.0036
_cell_length_b 7.0036
_cell_length_c 7.0036
_cell_angle_alpha 90.00
_cell_angle_beta 90.00
_cell_angle_gamma 90.00
loop_
_atom_site_label
_atom_site_type_symbol
_atom_site_fract_x
_atom_site_fract_y
_atom_site_fract_z
Ho1 Ho 0.0000 0.0000 0.0000
Tm1 Tm 0.0000 0.0000 0.5000
Mg1 Mg 0.2500 0.2500 0.7500
Os1 Os 0.2500 0.2500 0.2500
```

***

Least stable of them? entry B.